(1)
# La2PmPrSe4, optimized geometry, DFT PBE
data_La2PmPrSe4
_cell_length_a 7.401
_cell_length_b 4.248
_cell_length_c 7.429
_cell_angle_alpha 90.00
_cell_angle_beta 109.25
_cell_angle_gamma 90.00
_space_group_name_H-M_alt 'P 1 2/m 1'
_space_group_IT_number 10
_space_group_name_Hall '-P 2y'
loop_
_atom_site_label
_atom_site_type_symbol
_atom_site_fract_x
_atom_site_fract_y
_atom_site_fract_z
La1 La 0.000 0.000 0.000
La2 La 0.000 0.500 0.500
Pm1 Pm 0.500 0.000 0.500
Pr1 Pr 0.500 0.500 0.000
Se1 Se 0.254 0.000 0.749
Se2 Se 0.256 0.500 0.255
# Formation energy from raw total energies ... -1.923 eV/atom
# Raw total energy ... -6.089 eV/atom
# Total moment ... 0.000 μB/cell

(2)
# La4Pm3PrSe8, optimized geometry, DFT PBE
data_La4Pm3PrSe8
_cell_length_a 8.5347
_cell_length_b 8.5347
_cell_length_c 20.8556
_cell_angle_alpha 90.00
_cell_angle_beta 90.00
_cell_angle_gamma 120.00
_space_group_name_H-M_alt 'R -3 m'
_space_group_IT_number 166
_space_group_name_Hall '-R 3 2"'
loop_
_atom_site_label
_atom_site_type_symbol
_atom_site_fract_x
_atom_site_fract_y
_atom_site_fract_z
La1 La 0.0000 0.0000 0.0000
La2 La 0.0000 0.5000 0.0000
Pm1 Pm 0.0000 0.5000 0.5000
Pr1 Pr 0.0000 0.0000 0.5000
Se1 Se 0.0000 0.0000 0.2474
Se2 Se 0.0028 0.5014 0.7519
# Formation energy from raw total energies ... -1.920 eV/atom
# Raw total energy ... -6.084 eV/atom
# Total moment ... 0.000 μB/cell

(3)
# La2PmPr3Se6, optimized geometry, DFT PBE
data_La2PmPr3Se6
_cell_length_a 18.592
_cell_length_b 4.260
_cell_length_c 8.572
_cell_angle_alpha 90.00
_cell_angle_beta 103.28
_cell_angle_gamma 90.00
_space_group_name_H-M_alt 'C 1 2/m 1'
_space_group_IT_number 12
_space_group_name_Hall '-C 2y'
loop_
_atom_site_label
_atom_site_type_symbol
_atom_site_fract_x
_atom_site_fract_y
_atom_site_fract_z
La1 La 0.166 0.000 0.332
Pm1 Pm 0.000 0.500 0.000
Pr1 Pr 0.000 0.500 0.500
Pr2 Pr 0.167 0.000 0.834
Se1 Se 0.001 0.000 0.755
Se2 Se 0.165 0.500 0.081
Se3 Se 0.167 0.500 0.584
# Formation energy from raw total energies ... -1.898 eV/atom
# Raw total energy ... -6.052 eV/atom
# Total moment ... 0.000 μB/cell